Density functional theory data (GGA+U) for a relaxed HoPuCrO6 crystal.

a b c (Å): 5.546 5.546 8.687
angles (deg): 90.00 90.00 120.00
Element x y z (fractional)
1 Ho 0.333 0.667 0.250
2 Ho 0.667 0.333 0.750
3 Pu 0.333 0.667 0.750
4 Pu 0.667 0.333 0.250
5 Cr 0.000 0.000 0.000
6 Cr 0.000 0.000 0.500
7 O 0.025 0.336 0.624
8 O 0.025 0.689 0.876
9 O 0.311 0.336 0.876
10 O 0.311 0.975 0.624
11 O 0.336 0.025 0.124
12 O 0.336 0.311 0.376
13 O 0.664 0.689 0.624
14 O 0.664 0.975 0.876
15 O 0.689 0.025 0.376
16 O 0.689 0.664 0.124
17 O 0.975 0.311 0.124
18 O 0.975 0.664 0.376

Values from the calculation:
D(E_F) = 0.654 states/eV per atom
raw total energy = -156.80 eV/cell